1.
First-principles (PBE) data for an optimized crystal structure of Sc3AlGe, as listed in Alexandria via LeMat-Bulk.

a b c (Å): 14.9000 10.6326 5.4808
angles (deg): 90.00 98.29 90.00
With the nearest neighbours (Å) after each atom.
Space group C2/c (No. 15)
One atom of each set of equivalent atoms:
Sc (0.1034, 0.2404, 0.3191) x8  2 Ge 2.72-2.81, 1 Al 2.86
Sc (0.1044, 0.0569, 0.8704) x8  1 Ge 2.65, 1 Al 2.94
Sc (0.1961, 0.3752, 0.8396) x8  4 Ge 2.77-3.03, 1 Al 3.03
Al (0.0000, 0.2891, 0.7500) x4  1 Al 2.59
Al (0.0000, 0.4674, 0.2500) x4  3 Al 2.59-2.83, 2 Sc 2.86
Ge (0.2417, 0.1213, 0.6387) x8  6 Sc 2.65-2.90

Calculated values
Raw total energy   -5.830 eV/atom
ΔH_f (0 K)   -0.36 eV/atom
Polymorph energy (0 for the lowest one)   0.0000 eV per atom



2.
First-principles (PBE) data for an optimized crystal structure of In2WN, as listed in Alexandria via LeMat-Bulk.

a b c (Å): 6.9095 6.9095 5.7411
angles (deg): 90.00 90.00 90.00
With the nearest neighbours (Å) after each atom.
Space group I-42d (No. 122)
One atom of each set of equivalent atoms:
In (0.1812, 0.2500, 0.1250) x8  2 N 2.25
W (0.0000, 0.0000, 0.5000) x4  2 N 2.87, 8 In 2.89-3.03
N (0.0000, 0.0000, 0.0000) x4  4 In 2.25

Calculated values
Raw total energy   -5.538 eV/atom
Raw formation energy   1.15 eV/atom



3.
First-principles (PBE) data for an optimized crystal structure of LiPtCl2, as listed in Alexandria via LeMat-Bulk.

a b c (Å): 3.4611 3.4611 15.4419
angles (deg): 90.00 90.00 90.00
With the nearest neighbours (Å) after each atom.
Space group I-4m2 (No. 119)
One atom of each set of equivalent atoms:
Li (0.0000, 0.0000, 0.0000) x2  4 Cl 2.45
Pt (0.0000, 0.5000, 0.7500) x2  4 Cl 2.45
Cl (0.0000, 0.0000, 0.5000) x2  4 Li 2.45
Cl (0.0000, 0.5000, 0.2500) x2  4 Pt 2.45

Calculated values
Raw total energy   -3.462 eV/atom
Polymorph energy (0 for the lowest one)   0.1723 eV per atom
Raw formation energy   -0.55 eV/atom



4.
First-principles (PBE) data for an optimized crystal structure of CaBe6, as listed in Alexandria via LeMat-Bulk.

a b c (Å): 5.7753 5.7753 5.7753
angles (deg): 90.00 90.00 90.00
With the nearest neighbours (Å) after each atom.
Space group Im-3m (No. 229)
One atom of each set of equivalent atoms:
Ca (0.0000, 0.0000, 0.0000) x2  24 Be 3.23
Be (0.0000, 0.2500, 0.5000) x12  4 Be 2.04

Calculated values
Raw total energy   -2.803 eV/atom
ΔH_f (0 K)   0.68 eV/atom
Polymorph energy (0 for the lowest one)   0.5760 eV per atom



5.
First-principles (PBE) data for an optimized crystal structure of Ag6Pd8Au, as listed in Alexandria via LeMat-Bulk.

a b c (Å): 10.4804 10.4804 2.8173
angles (deg): 90.00 90.00 120.00
With the nearest neighbours (Å) after each atom.
Space group P-3 (No. 147)
One atom of each set of equivalent atoms:
Ag (0.0936, 0.4653, 0.2655) x6  5 Pd 2.73-2.82, 4 Ag 2.75-2.84
Pd (0.0748, 0.7971, 0.2187) x6  1 Au 2.73, 3 Ag 2.73-2.82, 6 Pd 2.82-3.05
Pd (0.3333, 0.6667, 0.7672) x2  6 Ag 2.73, 2 Pd 2.82
Au (0.0000, 0.0000, 0.5000) x1  6 Pd 2.73, 2 Au 2.82

Calculated values
Raw total energy   -3.936 eV/atom
ΔH_f (0 K)   0.19 eV/atom
Polymorph energy (0 for the lowest one)   0.0667 eV per atom



6.
First-principles (PBE) data for an optimized crystal structure of TlCuBiPb2, as listed in Alexandria via LeMat-Bulk.

a b c (Å): 5.3472 5.3472 5.2176
angles (deg): 90.00 90.00 90.00
With the nearest neighbours (Å) after each atom.
Space group P4/mmm (No. 123)
One atom of each set of equivalent atoms:
Tl (0.0000, 0.0000, 0.0000) x1  2 Cu 2.61
Cu (0.0000, 0.0000, 0.5000) x1  2 Tl 2.61, 4 Pb 2.67
Bi (0.5000, 0.5000, 0.0000) x1  8 Pb 3.74, 4 Tl 3.78
Pb (0.0000, 0.5000, 0.5000) x2  2 Cu 2.67

Calculated values
Raw total energy   -3.362 eV/atom
ΔH_f (0 K)   0.19 eV/atom



7.
First-principles (PBE) data for an optimized crystal structure of Ta2MnNb2, as listed in Alexandria via LeMat-Bulk.

a b c (Å): 6.0005 10.5785 6.2474
angles (deg): 90.00 115.29 90.00
With the nearest neighbours (Å) after each atom.
Space group C2/m (No. 12)
One atom of each set of equivalent atoms:
Ta (0.0441, 0.2201, 0.2534) x8  1 Mn 2.37
Mn (0.0000, 0.3791, 0.5000) x4  2 Ta 2.37, 4 Nb 2.51-2.63, 1 Mn 2.56
Nb (0.2319, 0.0000, 0.6443) x4  2 Mn 2.51, 3 Nb 2.59-2.77
Nb (0.2393, 0.5000, 0.9017) x4  2 Mn 2.63, 3 Nb 2.77-2.83

Calculated values
Raw total energy   -10.294 eV/atom
ΔH_f (0 K)   0.31 eV/atom
Polymorph energy (0 for the lowest one)   0.3802 eV per atom



8.
First-principles (PBE) data for an optimized crystal structure of Ba2BeBr, as listed in Alexandria via LeMat-Bulk.

a b c (Å): 4.6220 4.6220 25.6672
angles (deg): 90.00 90.00 120.00
With the nearest neighbours (Å) after each atom.
Space group R-3m (No. 166, hexagonal axes)
One atom of each set of equivalent atoms:
Ba (0.0000, 0.0000, 0.2428) x6  3 Be 3.31, 3 Br 3.54
Be (0.0000, 0.0000, 0.5000) x3  6 Ba 3.31
Br (0.0000, 0.0000, 0.0000) x3  6 Ba 3.54

Calculated values
Raw total energy   -2.782 eV/atom
Polymorph energy (0 for the lowest one)   0.0000 eV per atom
Raw formation energy   -0.47 eV/atom



9.
First-principles (PBE) data for an optimized crystal structure of Rb3AuI2, as listed in Alexandria via LeMat-Bulk.

a b c (Å): 16.5164 7.3805 10.3669
angles (deg): 90.00 108.29 90.00
With the nearest neighbours (Å) after each atom.
Space group C2/c (No. 15)
One atom of each set of equivalent atoms:
Rb (0.0000, 0.0022, 0.2500) x4  2 Au 3.69, 4 I 3.70
Rb (0.1600, 0.4997, 0.0800) x8  2 Au 3.61, 4 I 3.69-3.74
Au (0.0000, 0.4981, 0.7500) x4  6 Rb 3.61-3.69
I (0.1682, 0.9997, 0.0842) x8  6 Rb 3.69-3.74

Calculated values
Raw total energy   -2.629 eV/atom
Raw formation energy   -1.08 eV/atom



10.
First-principles (PBE) data for an optimized crystal structure of AlZnW4, as listed in Alexandria via LeMat-Bulk.

a b c (Å): 7.4812 7.4812 7.4812
angles (deg): 90.00 90.00 90.00
With the nearest neighbours (Å) after each atom.
Space group F-43m (No. 216)
One atom of each set of equivalent atoms:
Al (0.0000, 0.0000, 0.0000) x4  12 W 3.10, 4 Zn 3.24
Zn (0.2500, 0.2500, 0.2500) x4  12 W 3.10, 4 Al 3.24
W (0.1245, 0.1245, 0.6245) x16  6 W 2.63-2.66

Calculated values
Raw total energy   -8.852 eV/atom
ΔH_f (0 K)   0.62 eV/atom



11.
First-principles (PBE) data for an optimized crystal structure of UGaRh, as listed in Alexandria via LeMat-Bulk.

a b c (Å): 6.8467 6.8467 4.1268
angles (deg): 90.00 90.00 120.00
With the nearest neighbours (Å) after each atom.
Space group P-62m (No. 189)
One atom of each set of equivalent atoms:
U (0.0000, 0.5762, 0.0000) x3  5 Rh 2.90, 2 Ga 3.10
Ga (0.0000, 0.2379, 0.5000) x3  4 Rh 2.63-2.67, 2 Ga 2.82
Rh (0.0000, 0.0000, 0.0000) x1  6 Ga 2.63, 3 U 2.90
Rh (0.3333, 0.6667, 0.5000) x2  3 Ga 2.67, 6 U 2.90

Calculated values
Raw total energy   -7.768 eV/atom
ΔH_f (0 K)   -0.55 eV/atom



12.
First-principles (PBE) data for an optimized crystal structure of CsPuCl2F8, as listed in Alexandria via LeMat-Bulk.

a b c (Å): 6.6233 6.6233 7.8684
angles (deg): 90.00 90.00 120.00
With the nearest neighbours (Å) after each atom.
Space group P-3m1 (No. 164)
One atom of each set of equivalent atoms:
Cs (0.0000, 0.0000, 0.0000) x1  6 F 3.12
Pu (0.0000, 0.0000, 0.5000) x1  6 F 2.07
Cl (0.3333, 0.6667, 0.3565) x2  1 F 1.66
F (0.1426, 0.2853, 0.6620) x6  1 Pu 2.07
F (0.3333, 0.6667, 0.1450) x2  1 Cl 1.66

Calculated values
Raw total energy   -4.980 eV/atom
Raw formation energy   -2.16 eV/atom



13.
First-principles (PBE) data for an optimized crystal structure of In2RuI, as listed in Alexandria via LeMat-Bulk.

a b c (Å): 7.4462 7.4462 7.4462
angles (deg): 90.00 90.00 90.00
With the nearest neighbours (Å) after each atom.
Space group Fm-3m (No. 225)
One atom of each set of equivalent atoms:
In (0.2500, 0.2500, 0.2500) x8  4 Ru 3.22, 4 I 3.22
Ru (0.0000, 0.0000, 0.0000) x4  8 In 3.22
I (0.0000, 0.0000, 0.5000) x4  8 In 3.22

Calculated values
Raw total energy   -3.217 eV/atom
Polymorph energy (0 for the lowest one)   0.3573 eV per atom
Raw formation energy   0.86 eV/atom



14.
First-principles (PBE) data for an optimized crystal structure of CrSbP, as listed in Alexandria via LeMat-Bulk.

a b c (Å): 3.2337 3.2337 5.6924
angles (deg): 90.00 90.00 120.00
With the nearest neighbours (Å) after each atom.
Space group P3m1 (No. 156)
One atom of each set of equivalent atoms:
Cr (0.0000, 0.0000, 0.0000) x1  3 P 2.30
Sb (0.3333, 0.6667, 0.6582) x1  3 Cr 2.70
P (0.6667, 0.3333, 0.2369) x1  3 Cr 2.30

Calculated values
Raw total energy   -6.316 eV/atom
Polymorph energy (0 for the lowest one)   0.2324 eV per atom
Raw formation energy   0.07 eV/atom



15.
First-principles (PBE) data for an optimized crystal structure of PbSe2Br, as listed in Alexandria via LeMat-Bulk.

a b c (Å): 8.7476 4.1419 7.5081
angles (deg): 90.00 104.14 90.00
With the nearest neighbours (Å) after each atom.
Space group Cm (No. 8)
One atom of each set of equivalent atoms:
Pb (0.0000, 0.0000, 0.0000) x2  3 Br 3.08-3.17, 4 Se 3.13-3.34
Se (0.0347, 0.5000, 0.6636) x2  1 Se 2.39
Se (0.2857, 0.0000, 0.7426) x2  1 Se 2.39
Br (0.2332, 0.5000, 0.2187) x2  3 Pb 3.08-3.17

Calculated values
Raw total energy   -3.385 eV/atom
Polymorph energy (0 for the lowest one)   0.0383 eV per atom
Raw formation energy   -0.30 eV/atom



16.
First-principles (PBE) data for an optimized crystal structure of TbYGeS, as listed in Alexandria via LeMat-Bulk.

a b c (Å): 4.0544 4.0544 19.9840
angles (deg): 90.00 90.00 120.00
With the nearest neighbours (Å) after each atom.
Space group R3m (No. 160, hexagonal axes)
One atom of each set of equivalent atoms:
Tb (0.0000, 0.0000, 0.0000) x3  3 Ge 2.87, 3 S 2.88
Y (0.0000, 0.0000, 0.5002) x3  3 Ge 2.87, 3 S 2.87
Ge (0.0000, 0.0000, 0.2500) x3  3 Y 2.87, 3 Tb 2.87
S (0.0000, 0.0000, 0.7503) x3  3 Y 2.87, 3 Tb 2.88

Calculated values
Raw total energy   -6.427 eV/atom
Raw formation energy   -1.47 eV/atom



17.
First-principles (PBE) data for an optimized crystal structure of YBe2Ag2, as listed in Alexandria via LeMat-Bulk.

a b c (Å): 7.5989 7.5989 2.8435
angles (deg): 90.00 90.00 90.00
With the nearest neighbours (Å) after each atom.
Space group P4/mbm (No. 127)
One atom of each set of equivalent atoms:
Y (0.0000, 0.0000, 0.0000) x2  2 Y 2.84, 4 Ag 2.98, 8 Be 3.17
Be (0.1648, 0.3352, 0.5000) x4  6 Ag 2.62-2.67, 2 Be 2.84
Ag (0.1304, 0.6304, 0.0000) x4  6 Be 2.62-2.67, 3 Ag 2.80-2.84

Calculated values
Raw total energy   -3.722 eV/atom
ΔH_f (0 K)   0.20 eV/atom
Polymorph energy (0 for the lowest one)   0.1935 eV per atom



18.
First-principles (PBE) data for an optimized crystal structure of SiHOs3, as listed in Alexandria via LeMat-Bulk.

a b c (Å): 3.8845 3.8845 3.8845
angles (deg): 90.00 90.00 90.00
With the nearest neighbours (Å) after each atom.
Space group Pm-3m (No. 221)
One atom of each set of equivalent atoms:
Si (0.0000, 0.0000, 0.0000) x1  12 Os 2.75
H (0.5000, 0.5000, 0.5000) x1  6 Os 1.94
Os (0.0000, 0.5000, 0.5000) x3  2 H 1.94

Calculated values
Raw total energy   -8.060 eV/atom
Polymorph energy (0 for the lowest one)   0.0000 eV per atom



19.
First-principles (PBE) data for an optimized crystal structure of Ac6GeP2S3, as listed in Alexandria via LeMat-Bulk.

a b c (Å): 19.2340 4.4379 8.7999
angles (deg): 90.00 102.80 90.00
With the nearest neighbours (Å) after each atom.
Space group C2/m (No. 12)
One atom of each set of equivalent atoms:
Ac (0.0015, 0.0000, 0.2501) x4  2 Ge 3.12, 1 P 3.13, 3 S 3.13-3.16
Ac (0.1664, 0.5000, 0.0873) x4  2 P 3.11, 1 Ge 3.12, 3 S 3.12-3.16
Ac (0.1681, 0.5000, 0.5794) x4  3 P 3.07-3.09, 3 S 3.14-3.15
Ge (0.0000, 0.5000, 0.0000) x2  6 Ac 3.12
P (0.1681, 0.0000, 0.3356) x4  6 Ac 3.07-3.13
S (0.0000, 0.5000, 0.5000) x2  6 Ac 3.13-3.15
S (0.1671, 0.0000, 0.8314) x4  6 Ac 3.12-3.16

Calculated values
Raw total energy   -6.040 eV/atom
Raw formation energy   -1.67 eV/atom



20.
First-principles (PBE) data for an optimized crystal structure of TlRe2, as listed in Alexandria via LeMat-Bulk.

a b c (Å): 4.7049 4.7049 5.4075
angles (deg): 90.00 90.00 120.00
With the nearest neighbours (Å) after each atom.
Space group P6_3/mmc (No. 194)
One atom of each set of equivalent atoms:
Tl (0.3333, 0.6667, 0.2500) x2  5 Re 2.70-2.72
Re (0.0000, 0.0000, 0.0000) x2  2 Re 2.70
Re (0.3333, 0.6667, 0.7500) x2  5 Tl 2.70-2.72

Calculated values
Raw total energy   -7.739 eV/atom
ΔH_f (0 K)   1.35 eV/atom
Polymorph energy (0 for the lowest one)   0.8072 eV per atom